(1)
Here is In12Pb3Se5 after structural relaxation from the Alexandria database. Energies are from GGA-PBE.

## Properties
As for the space group: Ia-3d, No. 230. The total moment is 0.00 μB per formula unit. The total DFT energy (no corrections) comes out at -3.158 eV per atom. The value obtained for the uncorrected formation energy is -0.088 eV/atom.

Unit cell a=15.313 b=15.313 c=15.313 alpha=109.47 beta=109.47 gamma=109.47
Positions (direct):
Se: 0.625 0.875 0.250
Se: 0.000 0.500 0.500
Se: 0.750 0.125 0.875
Se: 0.000 0.500 0.000
Se: 0.125 0.375 0.250
Se: 0.500 0.500 0.000
Se: 0.750 0.625 0.375
Se: 0.500 0.000 0.000
Se: 0.250 0.875 0.125
Se: 0.500 0.000 0.500
Se: 0.000 0.000 0.500
Se: 0.125 0.750 0.375
Se: 0.500 0.500 0.500
Se: 0.000 0.000 0.000
Se: 0.875 0.250 0.625
Se: 0.625 0.750 0.875
Se: 0.375 0.250 0.125
Se: 0.375 0.125 0.750
Se: 0.250 0.375 0.625
Se: 0.875 0.625 0.750
Pb: 0.625 0.250 0.375
Pb: 0.625 0.375 0.750
Pb: 0.750 0.875 0.625
Pb: 0.375 0.625 0.250
Pb: 0.875 0.125 0.250
Pb: 0.125 0.875 0.750
Pb: 0.750 0.375 0.125
Pb: 0.375 0.750 0.625
Pb: 0.875 0.750 0.125
Pb: 0.125 0.250 0.875
Pb: 0.250 0.625 0.875
Pb: 0.250 0.125 0.375
In: 0.913 0.085 0.638
In: 0.947 0.585 0.172
In: 0.138 0.725 0.553
In: 0.172 0.087 0.725
In: 0.587 0.725 0.672
In: 0.638 0.053 0.225
In: 0.328 0.553 0.415
In: 0.225 0.672 0.087
In: 0.862 0.587 0.915
In: 0.947 0.362 0.275
In: 0.087 0.172 0.225
In: 0.915 0.828 0.553
In: 0.085 0.172 0.447
In: 0.913 0.828 0.775
In: 0.172 0.085 0.947
In: 0.138 0.413 0.085
In: 0.328 0.775 0.413
In: 0.415 0.362 0.587
In: 0.413 0.275 0.328
In: 0.828 0.913 0.275
In: 0.362 0.947 0.775
In: 0.862 0.275 0.447
In: 0.553 0.225 0.138
In: 0.672 0.225 0.587
In: 0.828 0.915 0.053
In: 0.725 0.138 0.053
In: 0.447 0.775 0.862
In: 0.585 0.638 0.413
In: 0.087 0.915 0.362
In: 0.053 0.638 0.725
In: 0.275 0.862 0.947
In: 0.638 0.585 0.913
In: 0.775 0.447 0.362
In: 0.587 0.862 0.415
In: 0.085 0.913 0.138
In: 0.725 0.587 0.172
In: 0.415 0.053 0.328
In: 0.053 0.415 0.828
In: 0.775 0.328 0.913
In: 0.225 0.553 0.638
In: 0.447 0.672 0.085
In: 0.915 0.087 0.862
In: 0.672 0.447 0.585
In: 0.585 0.947 0.672
In: 0.362 0.415 0.087
In: 0.553 0.328 0.915
In: 0.275 0.413 0.828
In: 0.413 0.138 0.585

(2)
Here is InPbSe after structural relaxation from the Alexandria database. Energies are from GGA-PBE.

## Properties
For the relative energy among the computed polymorphs, the calculation gives 43.4 meV/atom. As for the space group: I4mm, No. 107. The total moment is 0.00 μB per formula unit. The total DFT energy (no corrections) comes out at -3.504 eV per atom. The value obtained for the uncorrected formation energy is -0.193 eV/atom.

Unit cell a=6.226 b=6.227 c=3.771 alpha=72.37 beta=72.38 gamma=35.25
Positions (direct):
Se: 0.359 0.359 0.641
In: 0.978 0.978 0.022
Pb: 0.663 0.663 0.337